A plane-wave DFT calculation with PBE was carried out for a relaxed structure of NiHgPbS3.

Calculated values
ΔE to the lowest computed polymorph: 37.4 meV per atom

Lattice parameters (Å, degrees): 3.860 6.437 11.124 90.00 90.00 72.55
Sites, in units of the cell vectors:
Hg: 0.000 0.000 0.000
Hg: 0.000 0.000 0.500
S: 0.364 0.272 0.916
S: 0.934 0.132 0.250
S: 0.364 0.272 0.584
S: 0.636 0.728 0.084
S: 0.066 0.868 0.750
S: 0.636 0.728 0.416
Ni: 0.472 0.056 0.750
Ni: 0.528 0.944 0.250
Pb: 0.242 0.516 0.250
Pb: 0.758 0.484 0.750



A plane-wave DFT calculation with PBE was carried out for a relaxed structure of AgBi3S4Br2.

Calculated values
total DFT energy (no corrections): -3.882 eV/atom

Lattice parameters (Å, degrees): 4.156 7.088 9.905 94.31 90.00 107.05
Sites, in units of the cell vectors:
Br: 0.860 0.721 0.570
Br: 0.140 0.279 0.430
Ag: 0.500 0.000 0.000
S: 0.147 0.295 0.060
S: 0.853 0.705 0.940
S: 0.581 0.163 0.769
S: 0.419 0.837 0.231
Bi: 0.217 0.435 0.826
Bi: 0.500 0.000 0.500
Bi: 0.783 0.565 0.174



A plane-wave DFT calculation with PBE was carried out for a relaxed structure of SmSiHO4.

Calculated values
ΔE to the lowest computed polymorph: 156.8 meV per atom

Lattice parameters (Å, degrees): 9.855 7.143 4.449 90.00 90.00 90.00
Sites, in units of the cell vectors:
O: 0.550 0.065 0.732
O: 0.450 0.935 0.268
O: 0.050 0.065 0.768
O: 0.661 0.250 0.293
O: 0.202 0.750 0.204
O: 0.298 0.250 0.704
O: 0.550 0.435 0.732
O: 0.161 0.250 0.207
O: 0.450 0.565 0.268
O: 0.950 0.565 0.232
O: 0.050 0.435 0.768
O: 0.798 0.250 0.796
O: 0.950 0.935 0.232
O: 0.702 0.750 0.296
O: 0.339 0.750 0.707
O: 0.839 0.750 0.793
Si: 0.353 0.750 0.344
Si: 0.647 0.250 0.656
Si: 0.853 0.750 0.156
Si: 0.147 0.250 0.844
Sm: 0.405 0.250 0.151
Sm: 0.595 0.750 0.849
Sm: 0.905 0.250 0.349
Sm: 0.095 0.750 0.651
H: 0.500 0.500 0.500
H: 0.500 0.000 0.500
H: 0.000 0.500 0.000
H: 0.000 0.000 0.000



A plane-wave DFT calculation with PBE was carried out for a relaxed structure of Rb2Cd2BiSb.

Calculated values
total DFT energy (no corrections): -2.343 eV/atom

Lattice parameters (Å, degrees): 4.966 4.966 8.668 90.00 90.00 90.00
Sites, in units of the cell vectors:
Rb: 0.500 0.500 0.345
Rb: 0.000 0.000 0.658
Cd: 0.000 0.500 0.996
Cd: 0.500 0.000 0.996
Sb: 0.500 0.500 0.798
Bi: 0.000 0.000 0.206



A plane-wave DFT calculation with PBE was carried out for a relaxed structure of PrNbN2O.

Calculated values
total DFT energy (no corrections): -9.025 eV/atom

Lattice parameters (Å, degrees): 8.044 8.157 11.326 90.00 134.51 90.00
Sites, in units of the cell vectors:
N: 0.986 0.748 0.282
N: 0.193 0.462 0.500
N: 0.479 0.756 0.701
N: 0.704 0.033 0.205
N: 0.014 0.252 0.718
N: 0.521 0.244 0.299
N: 0.193 0.038 0.000
N: 0.986 0.752 0.782
N: 0.296 0.967 0.795
N: 0.704 0.467 0.705
N: 0.479 0.744 0.201
N: 0.807 0.962 0.000
N: 0.807 0.538 0.500
N: 0.521 0.256 0.799
N: 0.296 0.533 0.295
N: 0.014 0.248 0.218
Pr: 0.041 0.757 0.522
Pr: 0.544 0.744 0.021
Pr: 0.959 0.257 0.978
Pr: 0.456 0.244 0.479
Pr: 0.544 0.756 0.521
Pr: 0.959 0.243 0.478
Pr: 0.041 0.743 0.022
Pr: 0.456 0.256 0.979
O: 0.208 0.048 0.499
O: 0.792 0.952 0.501
O: 0.696 0.046 0.695
O: 0.208 0.452 0.999
O: 0.696 0.454 0.195
O: 0.304 0.954 0.305
O: 0.792 0.548 0.001
O: 0.304 0.546 0.805
Nb: 0.980 0.487 0.736
Nb: 0.980 0.013 0.236
Nb: 0.020 0.987 0.764
Nb: 0.489 0.012 0.237
Nb: 0.511 0.988 0.763
Nb: 0.511 0.512 0.263
Nb: 0.489 0.488 0.737
Nb: 0.020 0.513 0.264



A plane-wave DFT calculation with PBE was carried out for a relaxed structure of Hf6Sn2Ge.

Calculated values
total DFT energy (no corrections): -8.503 eV/atom

Lattice parameters (Å, degrees): 7.627 7.627 3.814 90.00 90.00 120.00
Sites, in units of the cell vectors:
Sn: 0.333 0.667 0.000
Sn: 0.667 0.333 0.000
Hf: 0.607 0.607 0.500
Hf: 0.752 0.000 0.000
Hf: 0.000 0.393 0.500
Hf: 0.000 0.752 0.000
Hf: 0.248 0.248 0.000
Hf: 0.393 0.000 0.500
Ge: 0.000 0.000 0.500



A plane-wave DFT calculation with PBE was carried out for a relaxed structure of CdPPbO.

Calculated values
ΔE to the lowest computed polymorph: 235.2 meV per atom

Lattice parameters (Å, degrees): 4.657 4.657 8.879 90.00 90.00 90.00
Sites, in units of the cell vectors:
P: 0.500 0.000 0.667
P: 0.000 0.500 0.333
Cd: 0.000 0.500 0.021
Cd: 0.500 0.000 0.979
O: 0.000 0.000 0.000
O: 0.500 0.500 0.000
Pb: 0.500 0.500 0.500
Pb: 0.000 0.000 0.500



A plane-wave DFT calculation with PBE was carried out for a relaxed structure of Pr2DyAs3.

Calculated values
total DFT energy (no corrections): -6.190 eV/atom

Lattice parameters (Å, degrees): 4.242 4.242 10.386 90.00 90.00 120.00
Sites, in units of the cell vectors:
As: 0.667 0.333 0.657
As: 0.333 0.667 0.343
As: 0.000 0.000 0.000
Pr: 0.333 0.667 0.829
Pr: 0.667 0.333 0.171
Dy: 0.000 0.000 0.500



The evaluated theoretical density for the records listed, in turn: 7.09 6.11 5.16 5.64 6.97 11.93 6.32 6.86 Mg/m³.